Material: BaTe2W
Method: DFT, PBE
State: relaxed

Cell lengths 4.175, 4.175, 8.024 Å; angles 90.00, 90.00, 90.00 degrees
Each line ends with the local moment (μB).
Atoms (fractional coordinates):
Ba  0.500  0.500  0.797  0.09
Te  0.000  0.000  0.996  0.02
W  0.000  0.000  0.335  2.54
Te  0.500  0.500  0.373  -0.02

Summary:
- Space group: P4mm
- E_tot: -20.5 eV per cell
- Total magnetic moment: 3.85 μB/f.u.
- Offset from the most stable computed form: 384 meV per atom



Material: Zr3SnBi
Method: DFT, PBE
State: relaxed

Cell lengths 4.459, 8.397, 7.652 Å; angles 83.79, 90.00, 105.40 degrees
Atoms (fractional coordinates):
Zr  0.973  0.945  0.695
Zr  0.741  0.483  0.846
Zr  0.181  0.361  0.553
Bi  0.111  0.222  0.929
Sn  0.356  0.712  0.686
Zr  0.259  0.517  0.154
Zr  0.819  0.639  0.447
Zr  0.027  0.055  0.305
Bi  0.889  0.778  0.071
Sn  0.644  0.288  0.314

Summary:
- Space group: C2/m
- E_tot: -67.8 eV per cell
- Total magnetic moment: 0.00 μB/f.u.
- Offset from the most stable computed form: 0 meV per atom
- DFT formation energy: -0.071 eV/atom



Material: Cr2SnSb2
Method: DFT, PBE
State: relaxed

Cell lengths 7.556, 7.556, 3.707 Å; angles 90.00, 90.00, 90.00 degrees
Each line ends with the local moment (μB).
Atoms (fractional coordinates):
Sb  0.160  0.660  0.500  -0.14
Cr  0.639  0.139  0.000  3.15
Sn  0.500  0.500  0.000  -0.02
Cr  0.361  0.861  0.000  3.15
Cr  0.861  0.639  0.000  3.14
Sb  0.840  0.340  0.500  -0.14
Sn  0.000  0.000  0.000  -0.02
Cr  0.139  0.361  0.000  3.14
Sb  0.340  0.160  0.500  -0.13
Sb  0.660  0.840  0.500  -0.13

Summary:
- Space group: P4/mbm
- E_tot: -60.0 eV per cell
- Total magnetic moment: 6.35 μB/f.u.



Material: LiLaIn5
Method: DFT, PBE
State: relaxed

Cell lengths 4.814, 4.814, 7.772 Å; angles 90.00, 90.00, 90.00 degrees
Atoms (fractional coordinates):
In  0.500  0.500  0.000
In  0.500  0.000  0.699
In  0.500  0.000  0.301
La  0.000  0.000  0.000
In  0.000  0.500  0.699
Li  0.000  0.000  0.500
In  0.000  0.500  0.301

Summary:
- Space group: P4/mmm
- E_tot: -22.9 eV per cell
- Total magnetic moment: 0.00 μB/f.u.
- DFT formation energy: -0.335 eV/atom



Material: Ba2CdSb3Rh4
Method: DFT, PBE
State: relaxed

Cell lengths 4.673, 4.673, 10.787 Å; angles 90.00, 90.00, 90.00 degrees
Atoms (fractional coordinates):
Ba  0.500  0.000  0.249
Rh  0.500  0.000  0.630
Rh  0.000  0.500  0.370
Cd  0.500  0.500  0.500
Rh  0.000  0.000  0.000
Ba  0.000  0.500  0.751
Sb  0.000  0.500  0.123
Rh  0.500  0.500  0.000
Sb  0.000  0.000  0.500
Sb  0.500  0.000  0.877

Summary:
- Space group: P-4m2
- E_tot: -52.6 eV per cell
- Total magnetic moment: 0.00 μB/f.u.



Material: Cs2CdPd
Method: DFT, PBE
State: relaxed

Cell lengths 6.202, 6.202, 6.202 Å; angles 60.00, 60.00, 60.00 degrees
Atoms (fractional coordinates):
Cs  0.250  0.250  0.250
Pd  0.000  0.000  0.000
Cd  0.500  0.500  0.500
Cs  0.750  0.750  0.750

Summary:
- Space group: Fm-3m
- E_tot: -7.2 eV per cell
- Total magnetic moment: 0.00 μB/f.u.
- Offset from the most stable computed form: 265 meV per atom
- DFT formation energy: 0.153 eV/atom



Material: CeDyTh
Method: DFT, PBE
State: relaxed

Cell lengths 3.508, 3.508, 18.137 Å; angles 106.98, 106.98, 59.96 degrees
Atoms (fractional coordinates):
Ce  0.821  0.821  0.671
Th  0.812  0.812  0.995
Dy  0.821  0.821  0.338
Dy  0.315  0.315  0.165
Th  0.324  0.324  0.507
Ce  0.314  0.314  0.831

Summary:
- Space group: C2/m
- E_tot: -35.8 eV per cell
- Total magnetic moment: 0.00 μB/f.u.
- Offset from the most stable computed form: 0 meV per atom
- DFT formation energy: 0.023 eV/atom



Material: La3ZnN
Method: DFT, PBE
State: relaxed

Cell lengths 6.049, 6.049, 6.049 Å; angles 86.75, 86.75, 86.75 degrees
Atoms (fractional coordinates):
N  0.031  0.031  0.031
La  0.852  0.316  0.852
La  0.316  0.852  0.852
La  0.852  0.852  0.316
Zn  0.825  0.825  0.825

Summary:
- Space group: R3m
- E_tot: -24.8 eV per cell
- Total magnetic moment: 0.00 μB/f.u.
- Offset from the most stable computed form: 608 meV per atom



Material: CsLiTaCl6
Method: DFT, PBE
State: relaxed

Cell lengths 6.640, 6.640, 15.494 Å; angles 90.00, 90.00, 120.00 degrees
Each line ends with the local moment (μB).
Atoms (fractional coordinates):
Cl  0.386  0.366  0.341  0.00
Cl  0.634  0.020  0.341  0.00
Cl  0.614  0.634  0.659  0.00
Cl  0.366  0.980  0.659  0.00
Ta  0.333  0.667  0.750  0.73
Cl  0.386  0.020  0.159  0.00
Cl  0.980  0.366  0.159  0.00
Li  0.667  0.333  0.750  0.00
Cl  0.020  0.634  0.841  0.00
Cs  0.000  0.000  0.500  0.00
Ta  0.667  0.333  0.250  0.73
Cl  0.366  0.386  0.841  0.00
Cs  0.000  0.000  0.000  0.00
Li  0.333  0.667  0.250  0.00
Cl  0.980  0.614  0.341  0.00
Cl  0.634  0.614  0.159  0.00
Cl  0.614  0.980  0.841  0.00
Cl  0.020  0.386  0.659  0.00

Summary:
- Space group: P-31c
- E_tot: -79.4 eV per cell
- Total magnetic moment: 1.00 μB/f.u.



Material: Pu2PaIn
Method: DFT, PBE
State: relaxed

Cell lengths 3.885, 3.885, 6.724 Å; angles 90.00, 90.00, 90.00 degrees
Each line ends with the local moment (μB).
Atoms (fractional coordinates):
Pa  0.500  0.500  0.500  0.97
Pu  0.000  0.000  0.749  5.36
In  0.500  0.500  0.000  0.01
Pu  0.000  0.000  0.251  5.36

Summary:
- Space group: P4/mmm
- E_tot: -40.6 eV per cell
- Total magnetic moment: 12.56 μB/f.u.
- Offset from the most stable computed form: 64 meV per atom
- DFT formation energy: 0.073 eV/atom



Material: NaNbSe2
Method: DFT, PBE
State: relaxed

Cell lengths 6.508, 6.508, 7.390 Å; angles 63.87, 63.87, 90.00 degrees
Each line ends with the local moment (μB).
Atoms (fractional coordinates):
Se  0.675  0.125  0.250  -0.03
Na  0.500  0.500  0.000  0.00
Nb  0.000  0.000  0.000  1.63
Na  0.250  0.750  0.500  0.00
Se  0.875  0.925  0.750  -0.03
Nb  0.750  0.250  0.500  1.66
Se  0.375  0.325  0.750  -0.03
Se  0.075  0.625  0.250  -0.03

Summary:
- Space group: I-42d
- E_tot: -41.4 eV per cell
- Total magnetic moment: 2.00 μB/f.u.



Material: LaPIr2
Method: DFT, PBE
State: relaxed

Cell lengths 4.676, 4.676, 5.084 Å; angles 73.75, 73.75, 51.38 degrees
Atoms (fractional coordinates):
Ir  0.723  0.723  0.916
La  0.488  0.488  0.508
P  0.266  0.266  0.123
Ir  0.023  0.023  0.953

Summary:
- Space group: Cm
- E_tot: -30.6 eV per cell
- Total magnetic moment: 0.00 μB/f.u.
- DFT formation energy: -0.624 eV/atom



Material: Ca2Re3
Method: DFT, PBE
State: relaxed

Cell lengths 2.919, 2.919, 12.535 Å; angles 90.00, 90.00, 120.00 degrees
Atoms (fractional coordinates):
Re  0.333  0.667  0.420
Ca  0.333  0.667  0.794
Ca  0.667  0.333  0.206
Re  0.667  0.333  0.580
Re  0.000  0.000  0.000

Summary:
- Space group: P-3m1
- E_tot: -37.4 eV per cell
- Total magnetic moment: 0.00 μB/f.u.
- Offset from the most stable computed form: 23 meV per atom
- DFT formation energy: 0.787 eV/atom



Material: SnSb
Method: DFT, PBE
State: relaxed

Cell lengths 5.248, 5.512, 12.171 Å; angles 90.00, 90.00, 90.00 degrees
Atoms (fractional coordinates):
Sb  0.500  0.542  0.000
Sn  0.500  0.112  0.500
Sn  0.000  0.888  0.667
Sb  0.000  0.458  0.833
Sn  0.500  0.112  0.167
Sb  0.000  0.458  0.167
Sb  0.500  0.542  0.333
Sn  0.000  0.888  0.000
Sn  0.500  0.112  0.833
Sb  0.000  0.458  0.500
Sb  0.500  0.542  0.667
Sn  0.000  0.888  0.333

Summary:
- Space group: Pmmn
- E_tot: -47.3 eV per cell
- Total magnetic moment: 0.00 μB/f.u.



Material: Ba3RhAu2
Method: DFT, PBE
State: relaxed

Cell lengths 4.671, 13.052, 13.167 Å; angles 90.00, 90.00, 90.00 degrees
Atoms (fractional coordinates):
Ba  0.750  0.872  0.452
Ba  0.250  0.795  0.729
Rh  0.250  0.370  0.629
Ba  0.250  0.705  0.229
Au  0.250  0.491  0.805
Ba  0.250  0.052  0.885
Rh  0.750  0.870  0.871
Au  0.750  0.991  0.695
Ba  0.750  0.552  0.615
Ba  0.750  0.948  0.115
Rh  0.750  0.630  0.371
Ba  0.250  0.128  0.548
Au  0.250  0.009  0.305
Au  0.750  0.190  0.017
Au  0.750  0.310  0.517
Rh  0.250  0.130  0.129
Ba  0.750  0.295  0.771
Ba  0.250  0.448  0.385
Au  0.750  0.509  0.195
Ba  0.750  0.205  0.271
Au  0.250  0.690  0.483
Au  0.250  0.810  0.983
Ba  0.250  0.372  0.048
Ba  0.750  0.628  0.952

Summary:
- Space group: Pnma
- E_tot: -91.3 eV per cell
- Total magnetic moment: 0.00 μB/f.u.
- DFT formation energy: -0.525 eV/atom



Material: YPt2
Method: DFT, PBE
State: relaxed

Cell lengths 4.140, 4.140, 13.446 Å; angles 98.86, 98.86, 90.00 degrees
Atoms (fractional coordinates):
Pt  0.250  0.250  0.500
Y  0.174  0.674  0.348
Y  0.924  0.924  0.848
Pt  0.500  0.000  0.000
Y  0.076  0.076  0.152
Pt  0.832  0.332  0.665
Y  0.326  0.826  0.652
Pt  0.668  0.168  0.335
Pt  0.000  0.500  0.000
Pt  0.582  0.582  0.165
Pt  0.750  0.750  0.500
Pt  0.418  0.418  0.835

Summary:
- Space group: I4_1/amd
- E_tot: -87.0 eV per cell
- Total magnetic moment: 0.00 μB/f.u.
- DFT formation energy: -1.069 eV/atom



Material: PuMgB14
Method: DFT, PBE
State: relaxed

Cell lengths 5.918, 7.409, 7.409 Å; angles 68.24, 66.46, 66.46 degrees
Each line ends with the local moment (μB).
Atoms (fractional coordinates):
B  0.868  0.759  0.506  0.01
B  0.417  0.753  0.412  0.01
Pu  0.750  0.613  0.887  5.31
B  0.824  0.378  0.470  0.01
B  0.219  0.779  0.100  0.00
B  0.324  0.970  0.878  0.01
B  0.368  0.006  0.259  0.01
B  0.676  0.030  0.122  0.01
B  0.083  0.088  0.747  0.01
B  0.599  0.400  0.721  0.00
B  0.583  0.247  0.588  0.01
B  0.901  0.779  0.100  0.00
B  0.719  0.600  0.279  0.00
B  0.666  0.362  0.306  0.00
B  0.281  0.400  0.721  0.00
B  0.401  0.600  0.279  0.00
B  0.632  0.994  0.741  0.01
B  0.671  0.622  0.530  0.01
B  0.781  0.221  0.900  0.00
B  0.171  0.030  0.122  0.01
B  0.099  0.221  0.900  0.00
B  0.176  0.622  0.530  0.01
B  0.834  0.194  0.138  0.00
Mg  0.000  0.000  0.500  0.00
B  0.132  0.241  0.494  0.01
B  0.334  0.638  0.694  0.00
Mg  0.500  0.000  0.500  0.00
B  0.917  0.912  0.253  0.01
B  0.329  0.378  0.470  0.01
B  0.829  0.970  0.878  0.01
Pu  0.250  0.387  0.113  5.31
B  0.166  0.806  0.862  0.00

Summary:
- Space group: Imma
- E_tot: -224.5 eV per cell
- Total magnetic moment: 5.84 μB/f.u.
- DFT formation energy: -0.178 eV/atom



Material: RbMnNi
Method: DFT, PBE
State: relaxed

Cell lengths 3.427, 3.800, 12.238 Å; angles 99.00, 96.68, 90.00 degrees
Atoms (fractional coordinates):
Ni  0.112  0.473  0.275
Ni  0.672  0.545  0.419
Rb  0.769  0.163  0.656
Mn  0.621  0.983  0.296
Rb  0.012  0.853  0.038
Mn  0.164  0.035  0.398

Summary:
- Space group: P1
- E_tot: -28.5 eV per cell
- Total magnetic moment: 0.00 μB/f.u.
- Offset from the most stable computed form: 149 meV per atom
- DFT formation energy: 0.553 eV/atom



Material: SmBiI
Method: DFT, PBE
State: relaxed

Cell lengths 4.512, 7.790, 7.759 Å; angles 119.48, 90.00, 90.00 degrees
Atoms (fractional coordinates):
Bi  0.822  0.349  0.330
Sm  0.322  0.062  0.351
Bi  0.822  0.776  0.371
I  0.322  0.321  0.823
I  0.322  0.804  0.878
Sm  0.822  0.062  0.851

Summary:
- Space group: P2/m
- E_tot: -24.8 eV per cell
- Total magnetic moment: 0.00 μB/f.u.
- Offset from the most stable computed form: 24 meV per atom



Material: Pm4GaCBr2
Method: DFT, PBE
State: relaxed

Cell lengths 3.874, 7.252, 7.774 Å; angles 106.71, 90.00, 90.00 degrees
Atoms (fractional coordinates):
Pm  0.500  0.729  0.793
Ga  0.000  0.000  0.000
Br  0.000  0.500  0.500
Pm  0.000  0.297  0.815
Pm  0.000  0.703  0.185
C  0.500  0.500  0.000
Pm  0.500  0.271  0.207
Br  0.500  0.000  0.500

Summary:
- Space group: P2/m
- E_tot: -41.4 eV per cell
- Total magnetic moment: 0.00 μB/f.u.